1.
4
Lattice="4.489 0.000 0.000 0.000 7.901 0.003 0.000 5.318 3.701" Properties=species:S:1:pos:R:3 comment="Sr2ZnCl, relaxed, DFT PBE" n_ef_per_ev_fu=3.4 dft_energy_ev_per_atom=-2.522 e_above_lowest_polymorph_mev_per_atom=20.1 e_form_raw_ev_per_atom=-0.90 pbc="T T T"
Cl 0.000 2.659 1.851
Sr 2.244 3.950 0.001
Sr 0.000 0.000 0.000
Zn 2.244 6.609 1.852

2.
6
Lattice="-2.815 -0.148 1.359 -0.928 -3.381 -2.292 4.513 -4.779 5.223" Properties=species:S:1:pos:R:3 comment="PaCuOs, relaxed, DFT PBE" n_ef_per_ev_fu=2.6 delta_e_f_ev_per_atom=0.04 dft_energy_ev_per_atom=-8.230 e_above_lowest_polymorph_mev_per_atom=37.3 pbc="T T T"
Os -0.367 -5.792 2.211
Cu 0.680 -7.431 4.201
Pa -1.427 -4.137 0.196
Pa 2.016 -4.828 3.650
Os 0.957 -3.171 1.636
Cu -0.091 -1.536 -0.357

3.
8
Lattice="6.188 -0.278 2.088 2.776 5.854 2.017 4.830 2.888 8.319" Properties=species:S:1:pos:R:3 comment="MoHCl6, relaxed, DFT PBE" n_ef_per_ev_fu=5.2 dft_energy_ev_per_atom=-3.846 pbc="T T T"
Cl 4.781 1.246 3.106
Cl 9.013 7.218 9.319
Cl 7.585 3.706 4.910
H 6.897 4.232 6.212
Cl 6.210 4.758 7.514
Mo 0.000 0.000 0.000
Cl 9.740 2.714 8.496
Cl 4.055 5.750 3.928

4.
6
Lattice="-1.190 2.851 -1.537 -4.426 -1.642 0.382 -0.729 3.690 7.409" Properties=species:S:1:pos:R:3 comment="Ho2NiHg3, relaxed, DFT PBE" n_ef_per_ev_fu=3.5 delta_e_f_ev_per_atom=-0.36 dft_energy_ev_per_atom=-3.004 pbc="T T T"
Hg -0.725 2.083 0.553
Ni -3.043 1.794 1.811
Hg -3.275 2.971 4.173
Hg -1.203 4.501 5.408
Ho -2.247 -0.649 0.536
Ho -0.348 1.763 3.541

5.
16
Lattice="-3.956 1.601 2.784 2.882 -3.863 1.653 5.646 6.137 4.495" Properties=species:S:1:pos:R:3 comment="CuAsF6, relaxed, DFT PBE" n_ef_per_ev_fu=5.2 dft_energy_ev_per_atom=-4.337 e_form_raw_ev_per_atom=-1.84 pbc="T T T"
F 2.575 2.245 5.917
F 0.424 4.244 5.890
F 3.190 4.323 7.824
As 0.000 0.000 0.000
F 1.383 -0.448 1.108
Cu 2.014 -0.507 3.154
F -0.012 -1.012 3.630
Cu 2.558 4.382 5.778
F 1.997 1.630 3.016
F 2.237 -0.240 5.267
F 2.241 6.480 6.072
As 2.823 3.068 2.248
F 2.336 4.115 3.665
F 2.332 -2.605 2.861
F 4.149 -0.369 3.042
F 4.585 4.887 5.302

6.
5
Lattice="6.840 0.000 0.000 0.000 6.840 0.000 0.000 0.000 6.840" Properties=species:S:1:pos:R:3 comment="BaNa3In, relaxed, DFT PBE" n_ef_per_ev_fu=6.4 delta_e_f_ev_per_atom=0.74 dft_energy_ev_per_atom=-0.985 e_above_lowest_polymorph_mev_per_atom=823.7 pbc="T T T"
Ba 0.000 0.000 0.000
Na 3.420 0.000 0.000
In 3.420 3.420 3.420
Na 0.000 0.000 3.420
Na 0.000 3.420 0.000